# 1
PBE Tl3FeP, relaxed; energy of formation = 3.36 eV/f.u.; crystal system = cubic
1.0
5.1653 0.0000 0.0000
0.0000 5.1653 0.0000
0.0000 0.0000 5.1653
Tl Fe P
3 1 1
Cartesian
0.0000 0.0000 2.5827 Tl
0.0000 2.5827 0.0000 Tl
2.5827 0.0000 0.0000 Tl
0.0000 0.0000 0.0000 Fe
2.5827 2.5827 2.5827 P

# 2
PBE HfHgMo2Os, relaxed; energy of formation = 7.00 eV/f.u.; crystal system = tetragonal
1.0
4.7274 0.0000 0.0000
0.0000 4.7274 0.0000
0.0000 0.0000 5.0461
Hf Hg Mo Os
1 1 2 1
Cartesian
0.0000 0.0000 0.0000 Hf
2.3637 2.3637 0.0000 Hg
0.0000 2.3637 2.5230 Mo
2.3637 0.0000 2.5230 Mo
2.3637 2.3637 2.5230 Os

# 3
PBE Cs2K3Hg4, relaxed; energy of formation = -2.05 eV/f.u.; crystal system = monoclinic
1.0
9.7516 0.0000 0.0000
0.0000 9.6685 0.0000
-2.8518 0.0000 8.9477
Cs K Hg
4 6 8
Cartesian
1.6657 1.6578 0.6116 Cs
0.2398 3.1764 5.0854 Cs
6.6601 6.4921 3.8623 Cs
5.2342 8.0107 8.3361 Cs
1.7238 6.5664 2.2357 K
0.2979 7.9363 6.7095 K
3.4499 0.0000 4.4738 K
4.8758 4.8342 0.0000 K
6.6019 1.7322 2.2381 K
5.1760 3.1020 6.7120 K
-1.7870 5.1716 7.8696 Hg
-0.3611 9.3311 3.3957 Hg
2.3316 1.0972 7.8898 Hg
3.7575 3.7371 3.4160 Hg
3.1423 5.9314 5.5317 Hg
4.5682 8.5713 1.0578 Hg
7.2609 0.3374 5.5519 Hg
8.6868 4.4969 1.0781 Hg

# 4
PBE BiTePtN2, relaxed; crystal system = tetragonal; formation energy without anion corrections = 1771 meV/atom
1.0
4.1914 0.0000 0.0000
0.0000 4.1914 0.0000
0.0000 0.0000 6.6883
Bi Te Pt N
1 1 1 2
Cartesian
0.0000 0.0000 0.0000 Bi
0.0000 0.0000 3.3442 Te
2.0957 2.0957 3.3442 Pt
0.0000 2.0957 0.0000 N
2.0957 0.0000 0.0000 N

# 5
PBE Tb9YTl2, relaxed; energy of formation = -1.34 eV/f.u.; crystal system = tetragonal
1.0
4.8877 0.0000 0.0000
0.0000 4.8877 0.0000
0.0000 0.0000 15.0633
Tb Y Tl
9 1 2
Cartesian
0.0000 0.0000 0.0000 Tb
0.0000 0.0000 5.0756 Tb
0.0000 0.0000 9.9878 Tb
0.0000 2.4439 2.5959 Tb
0.0000 2.4439 7.5317 Tb
0.0000 2.4439 12.4674 Tb
2.4439 0.0000 2.5959 Tb
2.4439 0.0000 7.5317 Tb
2.4439 0.0000 12.4674 Tb
2.4439 2.4439 0.0000 Y
2.4439 2.4439 5.1260 Tl
2.4439 2.4439 9.9373 Tl

# 6
PBE Be2TcRh, relaxed; energy of formation = -1.23 eV/f.u.; crystal system = orthorhombic
1.0
3.7597 0.0000 0.0000
0.0000 1.3676 4.2845
0.0000 -1.3676 4.2845
Be Tc Rh
2 1 1
Cartesian
0.0000 0.0000 0.0000 Be
1.8798 0.0000 1.3083 Be
1.8798 0.0000 3.6373 Tc
0.0000 0.0000 6.1813 Rh

# 7
PBE YCd2Ni, relaxed; energy of formation = -0.36 eV/f.u.; crystal system = monoclinic
1.0
3.6037 0.0000 0.0000
0.0000 4.7187 0.0000
-1.5040 0.0000 5.0555
Y Cd Ni
1 2 1
Cartesian
0.0000 0.0000 0.0000 Y
0.2118 2.3593 3.6325 Cd
1.8878 2.3593 1.4231 Cd
1.0498 0.0000 2.5278 Ni

# 8
PBE GaSn2TeRh, relaxed; crystal system = tetragonal; formation energy without anion corrections = -278 meV/atom
1.0
5.1934 0.0000 0.0000
0.0000 5.1934 0.0000
0.0000 0.0000 4.8179
Ga Sn Te Rh
1 2 1 1
Cartesian
0.0000 0.0000 0.0000 Ga
0.0000 2.5967 2.4089 Sn
2.5967 0.0000 2.4089 Sn
2.5967 2.5967 0.0000 Te
0.0000 0.0000 2.4089 Rh

# 9
PBE TlPdSe2, relaxed; crystal system = tetragonal; formation energy without anion corrections = -182 meV/atom
1.0
-3.0635 3.0635 6.0931
3.0635 -3.0635 6.0931
3.0635 3.0635 -6.0931
Tl Pd Se
2 2 4
Cartesian
0.0000 0.0000 0.0000 Tl
0.0000 3.0635 3.0466 Tl
3.0635 0.0000 3.0466 Pd
0.0000 0.0000 6.0931 Pd
1.5318 -1.2241 4.5698 Se
1.8394 1.5318 1.5233 Se
1.5318 4.2876 -1.5233 Se
1.2241 1.5318 7.6164 Se

# 10
PBE SmPaSbAu, relaxed; crystal system = cubic; formation energy without anion corrections = -444 meV/atom
1.0
0.0000 3.7348 3.7348
3.7348 0.0000 3.7348
3.7348 3.7348 0.0000
Sm Pa Sb Au
1 1 1 1
Cartesian
0.0000 0.0000 0.0000 Sm
3.7348 3.7348 3.7348 Pa
1.8674 1.8674 1.8674 Sb
5.6022 5.6022 5.6022 Au

# 11
PBE Li2BiI, relaxed; crystal system = tetragonal; formation energy without anion corrections = -427 meV/atom
1.0
-3.9193 3.9193 3.4816
3.9193 -3.9193 3.4816
3.9193 3.9193 -3.4816
Li Bi I
4 2 2
Cartesian
5.8790 1.8086 -0.8704 Li
1.8086 1.9597 0.8704 Li
-1.9597 2.1107 2.6112 Li
2.1107 1.9597 4.3520 Li
3.9193 0.0000 1.7408 Bi
0.0000 0.0000 3.4816 Bi
0.0000 0.0000 0.0000 I
0.0000 3.9193 1.7408 I

# 12
PBE Cs2GeH, relaxed; crystal system = cubic; VASP energy = -8.25 eV/cell
1.0
0.0000 4.3806 4.3806
4.3806 0.0000 4.3806
4.3806 4.3806 0.0000
Cs Ge H
2 1 1
Cartesian
2.1903 2.1903 2.1903 Cs
6.5709 6.5709 6.5709 Cs
0.0000 0.0000 0.0000 Ge
4.3806 4.3806 4.3806 H

# 13
PBE Tb2SmDy, relaxed; energy of formation = 0.06 eV/f.u.; crystal system = trigonal
1.0
1.7857 1.0310 11.6518
-1.7857 1.0310 11.6518
0.0000 -2.0619 11.6518
Tb Sm Dy
2 1 1
Cartesian
0.0000 0.0000 8.7092 Tb
0.0000 0.0000 26.2462 Tb
0.0000 0.0000 0.0000 Sm
0.0000 0.0000 17.4777 Dy

# 14
PBE LaCdP2, relaxed; energy of formation = -2.42 eV/f.u.; crystal system = monoclinic
1.0
5.2749 -2.0954 0.0000
5.2749 2.0954 0.0000
-0.6641 0.0000 4.2856
La Cd P
1 1 2
Cartesian
0.0000 0.0000 0.0000 La
7.5005 0.0000 1.8996 Cd
3.1996 0.0000 0.4382 P
4.9328 0.0000 2.1367 P

# 15
PBE Hf3SiW, relaxed; crystal system = cubic; formation energy without anion corrections = 719 meV/atom
1.0
4.7995 0.0000 0.0000
0.0000 4.7995 0.0000
0.0000 0.0000 4.7995
Hf Si W
3 1 1
Cartesian
0.0000 0.0000 2.3997 Hf
0.0000 2.3997 0.0000 Hf
2.3997 0.0000 0.0000 Hf
0.0000 0.0000 0.0000 Si
2.3997 2.3997 2.3997 W

# 16
PBE Sb2OsIO, relaxed; crystal system = tetragonal; formation energy without anion corrections = 873 meV/atom
1.0
4.5549 0.0000 0.0000
0.0000 4.5549 0.0000
0.0000 0.0000 4.9545
Sb Os I O
2 1 1 1
Cartesian
0.0000 2.2774 0.0000 Sb
2.2774 0.0000 0.0000 Sb
0.0000 0.0000 2.4773 Os
2.2774 2.2774 2.4773 I
2.2774 2.2774 0.0000 O

# 17
PBE Ge2HW, relaxed; crystal system = cubic; VASP energy = -21.59 eV/cell
1.0
0.0000 3.0747 3.0747
3.0747 0.0000 3.0747
3.0747 3.0747 0.0000
Ge H W
2 1 1
Cartesian
1.5374 1.5374 1.5374 Ge
4.6121 4.6121 4.6121 Ge
0.0000 0.0000 0.0000 H
3.0747 3.0747 3.0747 W

# 18
PBE Pa3Si3Tc2Ru, relaxed; crystal system = hexagonal; formation energy without anion corrections = -631 meV/atom
1.0
6.9270 0.0000 0.0000
-3.4635 5.9990 0.0000
0.0000 0.0000 3.9534
Pa Si Tc Ru
3 3 2 1
Cartesian
-1.4567 2.5231 0.0000 Pa
2.9134 0.0000 0.0000 Pa
2.0068 3.4759 0.0000 Pa
-2.6391 4.5711 1.9767 Si
0.8244 1.4279 1.9767 Si
5.2782 0.0000 1.9767 Si
0.0000 3.9993 1.9767 Tc
3.4635 1.9997 1.9767 Tc
0.0000 0.0000 0.0000 Ru

# 19
PBE MgTl4, relaxed; energy of formation = 0.15 eV/f.u.; crystal system = tetragonal
1.0
6.6342 0.0000 0.0000
0.0000 6.6342 0.0000
0.0000 0.0000 6.6831
Mg Tl
2 8
Cartesian
0.0000 0.0000 0.0000 Mg
3.3171 3.3171 3.3415 Mg
0.7685 1.8444 2.3773 Tl
1.4727 2.5486 5.7188 Tl
1.8444 5.8657 4.3058 Tl
2.5486 5.1615 0.9643 Tl
4.0856 1.4727 0.9643 Tl
4.7898 0.7685 4.3058 Tl
5.1615 4.0856 5.7188 Tl
5.8657 4.7898 2.3773 Tl

# 20
PBE PmRhAu4, relaxed; energy of formation = -1.88 eV/f.u.; crystal system = cubic
1.0
0.0000 3.8967 3.8967
3.8967 0.0000 3.8967
3.8967 3.8967 0.0000
Pm Rh Au
1 1 4
Cartesian
0.0000 0.0000 0.0000 Pm
5.8450 5.8450 5.8450 Rh
2.9267 2.9267 2.9267 Au
4.8666 4.8666 2.9267 Au
4.8666 2.9267 4.8666 Au
2.9267 4.8666 4.8666 Au

# 21
PBE LiNd5Hg8, relaxed; energy of formation = -5.71 eV/f.u.; crystal system = tetragonal
1.0
-4.5777 4.5777 4.5623
4.5777 -4.5777 4.5623
4.5777 4.5777 -4.5623
Li Nd Hg
1 5 8
Cartesian
0.0000 0.0000 0.0000 Li
2.2697 -1.0274 3.6021 Nd
3.5502 2.3080 0.9602 Nd
2.3080 5.6051 -0.9602 Nd
0.0000 4.5777 2.2812 Nd
1.0274 2.2697 5.5226 Nd
3.8591 3.1208 -2.1857 Hg
6.3836 0.7313 0.4804 Hg
0.7313 2.7718 -0.4804 Hg
0.7186 1.4569 2.3766 Hg
3.8464 1.8059 4.0819 Hg
1.4569 -0.7186 6.7481 Hg
3.1208 5.2963 2.1857 Hg
-1.8059 3.8464 5.0428 Hg

# 22
PBE VPtBr2, relaxed; crystal system = cubic; formation energy without anion corrections = 469 meV/atom
1.0
0.0000 3.3730 3.3730
3.3730 0.0000 3.3730
3.3730 3.3730 0.0000
V Pt Br
1 1 2
Cartesian
0.0000 0.0000 0.0000 V
3.3730 3.3730 3.3730 Pt
1.6865 1.6865 1.6865 Br
5.0594 5.0594 5.0594 Br

# 23
PBE BaAlH3, relaxed; crystal system = cubic; VASP energy = -13.49 eV/cell
1.0
4.9372 0.0000 0.0000
0.0000 4.9372 0.0000
0.0000 0.0000 4.9372
Ba Al H
1 1 3
Cartesian
0.0000 0.0000 0.0000 Ba
2.4686 2.4686 2.4686 Al
0.0000 0.0000 2.4686 H
0.0000 2.4686 0.0000 H
2.4686 0.0000 0.0000 H

# 24
PBE NaAs2Pd2, relaxed; energy of formation = -1.49 eV/f.u.; crystal system = tetragonal
1.0
-2.3010 2.3010 4.8400
2.3010 -2.3010 4.8400
2.3010 2.3010 -4.8400
Na As Pd
1 2 2
Cartesian
0.0000 0.0000 0.0000 Na
2.3010 0.0000 2.4200 As
0.0000 2.3010 2.4200 As
0.0000 0.0000 3.4654 Pd
0.0000 0.0000 6.2147 Pd

# 25
PBE Ca3Si, relaxed; crystal system = cubic; formation energy without anion corrections = -186 meV/atom
1.0
4.8310 0.0000 0.0000
0.0000 4.8310 0.0000
0.0000 0.0000 4.8310
Ca Si
3 1
Cartesian
0.0000 0.0000 2.4155 Ca
0.0000 2.4155 0.0000 Ca
2.4155 0.0000 0.0000 Ca
2.4155 2.4155 2.4155 Si

# 26
PBE KFeBr2, relaxed; crystal system = cubic; formation energy without anion corrections = -300 meV/atom
1.0
0.0000 3.6881 3.6881
3.6881 0.0000 3.6881
3.6881 3.6881 0.0000
K Fe Br
1 1 2
Cartesian
0.0000 0.0000 0.0000 K
3.6881 3.6881 3.6881 Fe
1.8440 1.8440 1.8440 Br
5.5321 5.5321 5.5321 Br

# 27
PBE SiTcW, relaxed; crystal system = trigonal; formation energy without anion corrections = 5 meV/atom
1.0
2.8554 0.0000 0.0000
-1.4277 2.4728 0.0000
0.0000 0.0000 6.2304
Si Tc W
1 1 1
Cartesian
0.0000 0.0000 0.0000 Si
0.0000 1.6486 1.9624 Tc
1.4277 0.8243 4.1065 W